# Al2TcTe, optimized geometry, DFT PBE
# formation energy without anion corrections = 0.162 eV per atom
data_Al2TcTe
_cell_length_a 3.2173
_cell_length_b 3.2173
_cell_length_c 25.2807
_cell_angle_alpha 90.00
_cell_angle_beta 90.00
_cell_angle_gamma 120.00
_space_group_name_H-M_alt 'R 3 m'
_space_group_IT_number 160
_space_group_name_Hall 'R 3 -2"'
loop_
_atom_site_label
_atom_site_type_symbol
_atom_site_fract_x
_atom_site_fract_y
_atom_site_fract_z
_atom_site_occupancy
Al1 Al 0.0000 0.0000 0.0000 1
Al2 Al 0.0000 0.0000 0.2479 1
Tc1 Tc 0.0000 0.0000 0.7409 1
Te1 Te 0.0000 0.0000 0.4836 1